1.
# HfBeSb

An optimized crystal structure of HfBeSb (PBE, OQMD).

Results
electronic total energy = -5.667 eV/atom
theoretical density = 8.99 g/cm³
energy relative to the lowest polymorph listed for this composition = 0 meV per atom

abc: 4.323 4.323 4.323
angles: 60.00 60.00 60.00
Positions (direct):
Hf: 0.000 0.000 0.000
Be: 0.250 0.250 0.250
Sb: 0.500 0.500 0.500

=====

2.
# Ta2InBiIr2

An optimized crystal structure of Ta2InBiIr2 (PBE, OQMD).

Results
electronic total energy = -8.271 eV/atom
theoretical density = 14.26 g/cm³

abc: 7.711 7.711 7.711
angles: 131.85 131.85 70.46
Positions (direct):
Ta: 0.245 0.245 0.000
Ta: 0.505 0.005 0.500
Ta: 0.755 0.755 0.000
Ta: 0.995 0.495 0.500
In: 0.000 0.000 0.000
In: 0.750 0.250 0.500
Bi: 0.250 0.750 0.500
Bi: 0.500 0.500 0.000
Ir: 0.124 0.625 0.999
Ir: 0.375 0.374 0.499
Ir: 0.626 0.125 0.001
Ir: 0.875 0.876 0.501

=====

3.
# Zr2Sb

An optimized crystal structure of Zr2Sb (PBE, OQMD).

Results
electronic total energy = -7.608 eV/atom
theoretical density = 7.48 g/cm³

abc: 5.474 5.474 5.474
angles: 139.86 139.86 58.06
Positions (direct):
Zr: 0.162 0.162 0.000
Zr: 0.838 0.838 0.000
Sb: 0.500 0.500 0.000